No. 1
Compound: KHgP2S
Source: Alexandria
Functional: PBE
Structure: relaxed

a b c (Å): 6.8407 6.8407 5.9814
angles (deg): 90.00 90.00 90.00
Last column: nearest neighbours and their distance in Å.
Atoms (fractional coordinates):
S: 0.0000 0.0000 0.5000  2 K 2.99
P: 0.0000 0.5000 0.0000  2 K 3.42
P: 0.5000 0.0000 0.0000  2 K 3.42
K: 0.0000 0.0000 0.0000  2 S 2.99
Hg: 0.5000 0.5000 0.5000  8 P 4.54, 4 S 4.84

Properties
Final energy (eV per atom): -1.840
ΔE_f (raw) (eV per formula unit): 7.1
Density of states at the Fermi level (states/eV/f.u.): 6.908
Size of the total moment (μB per formula unit): 4.9
E above lowest polymorph (kJ per mole of atoms): 77.3

***

No. 2
Compound: K2HgP2S6
Source: Alexandria
Functional: PBE
Structure: relaxed

a b c (Å): 6.9474 6.9474 11.0241
angles (deg): 71.63 71.63 60.00
Last column: nearest neighbours and their distance in Å.
Atoms (fractional coordinates):
K: 0.7820 0.7820 0.6541  6 S 3.49
K: 0.2180 0.2180 0.3459  6 S 3.49
Hg: 0.0000 0.0000 0.0000  6 S 3.80
P: 0.4380 0.4380 0.6860  3 S 1.96
P: 0.5620 0.5620 0.3140  3 S 1.96
S: 0.7255 0.7255 0.3113  1 P 1.96
S: 0.2377 0.7255 0.3113  1 P 1.96
S: 0.7255 0.2377 0.3113  1 P 1.96
S: 0.2745 0.7623 0.6887  1 P 1.96
S: 0.7623 0.2745 0.6887  1 P 1.96
S: 0.2745 0.2745 0.6887  1 P 1.96

Properties
Final energy (eV per atom): -3.989
ΔE_f (raw) (eV per formula unit): -5.8
Size of the total moment (μB per formula unit): 0.0

***

No. 3
Compound: K2HgPS4
Source: Alexandria
Functional: PBE
Structure: relaxed

a b c (Å): 6.7487 6.7487 6.7487
angles (deg): 108.45 109.98 109.98
Last column: nearest neighbours and their distance in Å.
Atoms (fractional coordinates):
K: 0.5000 0.7500 0.2500  4 S 3.16
K: 0.0000 0.0000 0.0000  4 S 3.28
Hg: 0.5000 0.2500 0.7500  4 S 2.92
P: 0.0000 0.5000 0.5000  4 S 2.06
S: 0.6882 0.4778 0.5026  1 P 2.06
S: 0.0248 0.2103 0.5222  1 P 2.06
S: 0.9752 0.4974 0.1856  1 P 2.06
S: 0.3118 0.8144 0.7897  1 P 2.06

Properties
Final energy (eV per atom): -3.665
ΔE_f (raw) (eV per formula unit): -4.9
Density of states at the Fermi level (states/eV/f.u.): 6.032
Size of the total moment (μB per formula unit): 0.4